First-principles (PBE-GGA) data for a relaxed Cr2SiTe crystal, as listed in the Alexandria database.

Mass density (g/cm³): 7.32
Energy above the lowest structure with this stoichiometry (kcal/mol of atoms): 2.653
Space-group type: P4/mmm
E_form (uncorrected) (meV/atom): 295

Unit cell a=3.105 b=3.107 c=6.849 alpha=63.02 beta=90.00 gamma=90.00
Fractional coordinates of all 4 atoms:
Si 0.500 0.250 0.250
Cr 0.000 0.548 0.451
Cr 0.000 0.952 0.049
Te 0.500 0.750 0.750